{
  "formula": "NaCa3P",
  "functional": "PBEsol",
  "state": "optimized geometry",
  "cell": [[5.597, 0.000, 0.000], [0.000, 5.597, 0.000], [0.000, 0.000, 5.597]],
  "species": ["Na", "Ca", "Ca", "Ca", "P"],
  "frac_coords": [[0.000, 0.000, 0.000], [0.000, 0.000, 0.500], [0.000, 0.500, 0.000], [0.500, 0.000, 0.000], [0.500, 0.500, 0.500]],
  "vol_a3_per_fu": 175.4,
  "mass_density_g_cm3": 1.65,
  "magmom_total_mub_per_cell": 0.0,
  "formation_enthalpy_0k_kj_per_mol_fu": 313
}

{
  "formula": "NaCa3P",
  "functional": "PBEsol",
  "state": "optimized geometry",
  "cell": [[5.586, 0.000, 0.000], [0.000, 5.586, 0.000], [0.000, 0.000, 5.586]],
  "species": ["Na", "Ca", "Ca", "Ca", "P"],
  "frac_coords": [[0.000, 0.000, 0.000], [0.000, 0.500, 0.500], [0.500, 0.000, 0.500], [0.500, 0.500, 0.000], [0.500, 0.500, 0.500]],
  "vol_a3_per_fu": 174.3,
  "mass_density_g_cm3": 1.66,
  "magmom_total_mub_per_cell": 0.0,
  "formation_enthalpy_0k_kj_per_mol_fu": -234
}

{
  "formula": "NaCa2SnP",
  "functional": "PBEsol",
  "state": "optimized geometry",
  "cell": [[5.926, 0.000, 0.000], [0.000, 5.926, 0.000], [0.000, 0.000, 5.126]],
  "species": ["Na", "Ca", "Ca", "Sn", "P"],
  "frac_coords": [[0.000, 0.000, 0.000], [0.000, 0.500, 0.500], [0.500, 0.000, 0.500], [0.500, 0.500, 0.500], [0.500, 0.500, 0.000]],
  "vol_a3_per_fu": 180.0,
  "mass_density_g_cm3": 2.33,
  "magmom_total_mub_per_cell": 0.0,
  "formation_enthalpy_0k_kj_per_mol_fu": 64
}